# Ag2SeI2, optimized geometry, DFT PBE-GGA
# Density of states at the Fermi level (states/eV/atom): 0.97
# Mass density (g cm⁻³): 6.91
# Energy above the most stable polymorph in this dataset (meV per atom): 0
# Raw total energy (eV per atom): -2.171
# V (Å³/cell): 264
data_Ag2SeI2
_cell_length_a 7.931
_cell_length_b 7.931
_cell_length_c 4.190
_cell_angle_alpha 90.00
_cell_angle_beta 90.00
_cell_angle_gamma 90.00
_symmetry_space_group_name_H-M 'P 4/m b m'
_symmetry_Int_Tables_number 127
_symmetry_space_group_name_Hall '-P 4 2ab'
loop_
_atom_site_label
_atom_site_type_symbol
_atom_site_fract_x
_atom_site_fract_y
_atom_site_fract_z
_atom_site_occupancy
Ag1 Ag 0.136 0.364 0.000 1
Se1 Se 0.000 0.000 0.000 1
I1 I 0.167 0.667 0.500 1

***

# Pr8Cd2Sn, optimized geometry, DFT PBE-GGA
# Density of states at the Fermi level (states/eV/atom): 1.11
# Mass density (g cm⁻³): 6.99
# ΔH_f (0 K) (eV/atom): -0.235
# Raw total energy (eV per atom): -4.241
# V (Å³/cell): 699
data_Pr8Cd2Sn
_cell_length_a 17.533
_cell_length_b 5.135
_cell_length_c 8.380
_cell_angle_alpha 90.00
_cell_angle_beta 112.10
_cell_angle_gamma 90.00
_symmetry_space_group_name_H-M 'C 1 2/m 1'
_symmetry_Int_Tables_number 12
loop_
_symmetry_equiv_pos_as_xyz
'x,y,z'
'-x,-y,-z'
'-x,y,-z'
'x,-y,z'
'x+1/2,y+1/2,z'
'-x+1/2,-y+1/2,-z'
'-x+1/2,y+1/2,-z'
'x+1/2,-y+1/2,z'
loop_
_atom_site_label
_atom_site_type_symbol
_atom_site_fract_x
_atom_site_fract_y
_atom_site_fract_z
_atom_site_occupancy
Pr1 Pr 0.056 0.000 0.234 1
Pr2 Pr 0.096 0.500 0.948 1
Pr3 Pr 0.141 0.000 0.701 1
Pr4 Pr 0.180 0.500 0.446 1
Cd1 Cd 0.223 0.000 0.136 1
Sn1 Sn 0.000 0.500 0.500 1

***

# Ba2LaOs, optimized geometry, DFT PBE-GGA
# Density of states at the Fermi level (states/eV/atom): 0.84
# Mass density (g cm⁻³): 6.38
# Energy above the most stable polymorph in this dataset (meV per atom): 65
# ΔH_f (0 K) (eV/atom): 0.258
# Raw total energy (eV per atom): -4.743
# V (Å³/cell): 314
data_Ba2LaOs
_cell_length_a 4.014
_cell_length_b 6.314
_cell_length_c 12.408
_cell_angle_alpha 90.00
_cell_angle_beta 90.00
_cell_angle_gamma 90.00
_symmetry_space_group_name_H-M 'I m m 2'
_symmetry_Int_Tables_number 44
loop_
_symmetry_equiv_pos_as_xyz
'x,y,z'
'-x,-y,z'
'-x,y,z'
'x,-y,z'
'x+1/2,y+1/2,z+1/2'
'-x+1/2,-y+1/2,z+1/2'
'-x+1/2,y+1/2,z+1/2'
'x+1/2,-y+1/2,z+1/2'
loop_
_atom_site_label
_atom_site_type_symbol
_atom_site_fract_x
_atom_site_fract_y
_atom_site_fract_z
_atom_site_occupancy
Ba1 Ba 0.000 0.000 0.000 1
Ba2 Ba 0.000 0.500 0.176 1
La1 La 0.000 0.500 0.832 1
Os1 Os 0.000 0.000 0.468 1

***

# TcSb2TeC, optimized geometry, DFT PBE-GGA
# Density of states at the Fermi level (states/eV/atom): 1.00
# Mass density (g cm⁻³): 5.86
# Energy above the most stable polymorph in this dataset (meV per atom): 423
# Raw total energy (eV per atom): -4.478
# V (Å³/cell): 136
data_TcSb2TeC
_cell_length_a 5.133
_cell_length_b 5.133
_cell_length_c 5.178
_cell_angle_alpha 90.00
_cell_angle_beta 90.00
_cell_angle_gamma 90.00
_symmetry_space_group_name_H-M 'P 4/m m m'
_symmetry_Int_Tables_number 123
_symmetry_space_group_name_Hall '-P 4 2'
loop_
_atom_site_label
_atom_site_type_symbol
_atom_site_fract_x
_atom_site_fract_y
_atom_site_fract_z
_atom_site_occupancy
Tc1 Tc 0.000 0.000 0.000 1
Sb1 Sb 0.000 0.500 0.000 1
Te1 Te 0.000 0.000 0.500 1
C1 C 0.500 0.500 0.500 1

***

# DyEr2SbN4, optimized geometry, DFT PBE-GGA
# Density of states at the Fermi level (states/eV/atom): 0.05
# Mass density (g cm⁻³): 9.51
# Raw total energy (eV per atom): -7.491
# V (Å³/cell): 118
data_DyEr2SbN4
_cell_length_a 6.001
_cell_length_b 3.459
_cell_length_c 6.016
_cell_angle_alpha 90.00
_cell_angle_beta 109.27
_cell_angle_gamma 90.00
_symmetry_space_group_name_H-M 'P 1 2/m 1'
_symmetry_Int_Tables_number 10
loop_
_symmetry_equiv_pos_as_xyz
'x,y,z'
'-x,-y,-z'
'-x,y,-z'
'x,-y,z'
loop_
_atom_site_label
_atom_site_type_symbol
_atom_site_fract_x
_atom_site_fract_y
_atom_site_fract_z
_atom_site_occupancy
Dy1 Dy 0.000 0.000 0.000 1
Er1 Er 0.000 0.500 0.500 1
Er2 Er 0.500 0.000 0.500 1
Sb1 Sb 0.500 0.500 0.000 1
N1 N 0.237 0.000 0.735 1
N2 N 0.245 0.500 0.258 1

***

# Dy2Ga4Au3, optimized geometry, DFT PBE-GGA
# Density of states at the Fermi level (states/eV/atom): 0.60
# Mass density (g cm⁻³): 11.23
# ΔH_f (0 K) (eV/atom): -0.575
# Raw total energy (eV per atom): -4.035
# V (Å³/cell): 707
data_Dy2Ga4Au3
_cell_length_a 5.917
_cell_length_b 15.436
_cell_length_c 7.739
_cell_angle_alpha 90.00
_cell_angle_beta 90.00
_cell_angle_gamma 90.00
_symmetry_space_group_name_H-M 'C m c e'
_symmetry_Int_Tables_number 64
_symmetry_space_group_name_Hall '-C 2ac 2'
loop_
_atom_site_label
_atom_site_type_symbol
_atom_site_fract_x
_atom_site_fract_y
_atom_site_fract_z
_atom_site_occupancy
Dy1 Dy 0.000 0.107 0.091 1
Ga1 Ga 0.000 0.175 0.477 1
Ga2 Ga 0.250 0.062 0.750 1
Au1 Au 0.000 0.000 0.500 1
Au2 Au 0.250 0.233 0.750 1